(1)
DFT (PBE) results for a geometry-optimized KTl2Ni2 structure.

Cell lengths 9.7483, 9.7483, 9.7483 Å; angles 158.94, 158.94, 29.96 degrees
Last column: nearest neighbours and their distance in Å.
Fractional positions:
1 K 0.0000 0.0000 0.0000  4 K 3.56, 8 Tl 3.67
2 Tl 0.3581 0.3581 0.0000  4 Ni 2.71
3 Tl 0.6419 0.6419 0.0000  4 Ni 2.71
4 Ni 0.2500 0.7500 0.5000  4 Ni 2.52, 4 Tl 2.71
5 Ni 0.7500 0.2500 0.5000  4 Ni 2.52, 4 Tl 2.71

**Excess energy over the best structure of this formula in the dataset**: 0 meV/atom
**Space-group type**: I4/mmm (139)
**Total energy**: -3.34 eV/atom
**Energy relative to the elements**: 135 meV per atom

(2)
DFT (PBE) results for a geometry-optimized Ho12Tc3H5 structure.

Cell lengths 13.0145, 13.0145, 13.0145 Å; angles 109.47, 109.47, 109.47 degrees
Last column: nearest neighbours and their distance in Å.
Fractional positions:
1 Ho 0.0285 0.2168 0.1228  1 H 2.19
2 Ho 0.0285 0.3117 0.9057  1 H 2.19
3 Ho 0.0943 0.6228 0.4060  1 H 2.19
4 Ho 0.0940 0.7168 0.6883  1 H 2.19
5 Ho 0.0940 0.8772 0.4057  1 H 2.19
6 Ho 0.0943 0.9715 0.6883  1 H 2.19
7 Ho 0.1228 0.0285 0.2168  1 H 2.19
8 Ho 0.1228 0.5943 0.9060  1 H 2.19
9 Ho 0.1883 0.2168 0.5940  1 H 2.19
10 Ho 0.1883 0.4715 0.5943  1 H 2.19
11 Ho 0.2168 0.1228 0.0285  1 H 2.19
12 Ho 0.2168 0.5940 0.1883  1 H 2.19
13 Ho 0.2832 0.3117 0.9060  1 H 2.19
14 Ho 0.2832 0.4715 0.3772  1 H 2.19
15 Ho 0.3117 0.9057 0.0285  1 H 2.19
16 Ho 0.3117 0.9060 0.2832  1 H 2.19
17 Ho 0.3772 0.2832 0.4715  1 H 2.19
18 Ho 0.3772 0.5940 0.9057  1 H 2.19
19 Ho 0.4060 0.0943 0.6228  1 H 2.19
20 Ho 0.4057 0.0940 0.8772  1 H 2.19
21 Ho 0.4057 0.8117 0.5285  1 H 2.19
22 Ho 0.4060 0.8117 0.7832  1 H 2.19
23 Ho 0.4715 0.3772 0.2832  1 H 2.19
24 Ho 0.4715 0.5943 0.1883  1 H 2.19
25 Ho 0.5285 0.4057 0.8117  1 H 2.19
26 Ho 0.5285 0.6228 0.7168  1 H 2.19
27 Ho 0.5940 0.1883 0.2168  1 H 2.19
28 Ho 0.5943 0.1883 0.4715  1 H 2.19
29 Ho 0.5943 0.9060 0.1228  1 H 2.19
30 Ho 0.5940 0.9057 0.3772  1 H 2.19
31 Ho 0.6228 0.4060 0.0943  1 H 2.19
32 Ho 0.6228 0.7168 0.5285  1 H 2.19
33 Ho 0.6883 0.0940 0.7168  1 H 2.19
34 Ho 0.6883 0.0943 0.9715  1 H 2.19
35 Ho 0.7168 0.5285 0.6228  1 H 2.19
36 Ho 0.7168 0.6883 0.0940  1 H 2.19
37 Ho 0.7832 0.4060 0.8117  1 H 2.19
38 Ho 0.7832 0.8772 0.9715  1 H 2.19
39 Ho 0.8117 0.5285 0.4057  1 H 2.19
40 Ho 0.8117 0.7832 0.4060  1 H 2.19
41 Ho 0.8772 0.4057 0.0940  1 H 2.19
42 Ho 0.8772 0.9715 0.7832  1 H 2.19
43 Ho 0.9057 0.0285 0.3117  1 H 2.19
44 Ho 0.9060 0.1228 0.5943  1 H 2.19
45 Ho 0.9060 0.2832 0.3117  1 H 2.19
46 Ho 0.9057 0.3772 0.5940  1 H 2.19
47 Ho 0.9715 0.6883 0.0943  1 H 2.19
48 Ho 0.9715 0.7832 0.8772  1 H 2.19
49 Tc 0.1250 0.2500 0.3750  8 Ho 2.91-2.92
50 Tc 0.1250 0.3750 0.7500  8 Ho 2.91-2.92
51 Tc 0.2500 0.3750 0.1250  8 Ho 2.91-2.92
52 Tc 0.2500 0.8750 0.6250  8 Ho 2.91-2.92
53 Tc 0.3750 0.1250 0.2500  8 Ho 2.91-2.92
54 Tc 0.3750 0.7500 0.1250  8 Ho 2.91-2.92
55 Tc 0.6250 0.2500 0.8750  8 Ho 2.91-2.92
56 Tc 0.6250 0.8750 0.7500  8 Ho 2.91-2.92
57 Tc 0.7500 0.1250 0.3750  8 Ho 2.91-2.92
58 Tc 0.7500 0.6250 0.8750  8 Ho 2.91-2.92
59 Tc 0.8750 0.6250 0.2500  8 Ho 2.91-2.92
60 Tc 0.8750 0.7500 0.6250  8 Ho 2.91-2.92
61 H 0.0000 0.0000 0.0000  6 Ho 2.56
62 H 0.0000 0.0000 0.5000  6 Ho 2.56
63 H 0.0000 0.5000 0.0000  6 Ho 2.56
64 H 0.0000 0.5000 0.5000  6 Ho 2.56
65 H 0.1250 0.7500 0.8750  4 Ho 2.19
66 H 0.1250 0.8750 0.2500  4 Ho 2.19
67 H 0.2500 0.1250 0.8750  4 Ho 2.19
68 H 0.2500 0.6250 0.3750  4 Ho 2.19
69 H 0.3750 0.2500 0.6250  4 Ho 2.19
70 H 0.3750 0.6250 0.7500  4 Ho 2.19
71 H 0.5000 0.0000 0.0000  6 Ho 2.56
72 H 0.5000 0.0000 0.5000  6 Ho 2.56
73 H 0.5000 0.5000 0.0000  6 Ho 2.56
74 H 0.5000 0.5000 0.5000  6 Ho 2.56
75 H 0.6250 0.3750 0.2500  4 Ho 2.19
76 H 0.6250 0.7500 0.3750  4 Ho 2.19
77 H 0.7500 0.3750 0.6250  4 Ho 2.19
78 H 0.7500 0.8750 0.1250  4 Ho 2.19
79 H 0.8750 0.1250 0.7500  4 Ho 2.19
80 H 0.8750 0.2500 0.1250  4 Ho 2.19

**Space-group type**: Ia-3d (230)
**Total energy**: -5.34 eV/atom

(3)
DFT (PBE) results for a geometry-optimized Mg4ReRh structure.

Cell lengths 5.2608, 5.2608, 5.2608 Å; angles 60.00, 60.00, 60.00 degrees
Last column: nearest neighbours and their distance in Å.
Fractional positions:
1 Mg 0.1244 0.1244 0.1244  6 Mg 2.62-2.64
2 Mg 0.1244 0.1244 0.6268  6 Mg 2.62-2.64
3 Mg 0.1244 0.6268 0.1244  6 Mg 2.62-2.64
4 Mg 0.6268 0.1244 0.1244  6 Mg 2.62-2.64
5 Re 0.7500 0.7500 0.7500  12 Mg 3.08, 4 Rh 3.22
6 Rh 0.5000 0.5000 0.5000  12 Mg 3.09, 4 Re 3.22

**Space-group type**: F-43m (216)
**Total energy**: -3.77 eV/atom
**Energy relative to the elements**: 591 meV per atom

(4)
DFT (PBE) results for a geometry-optimized ZrTaPS2 structure.

Cell lengths 4.6745, 4.6745, 4.8798 Å; angles 90.00, 90.00, 90.00 degrees
Last column: nearest neighbours and their distance in Å.
Fractional positions:
1 Zr 0.0000 0.0000 0.0000  4 P 3.31, 8 S 3.38
2 Ta 0.5000 0.5000 0.5000  4 S 2.34, 2 P 2.44
3 P 0.5000 0.5000 0.0000  2 Ta 2.44
4 S 0.0000 0.5000 0.5000  2 Ta 2.34
5 S 0.5000 0.0000 0.5000  2 Ta 2.34

**Excess energy over the best structure of this formula in the dataset**: 0 meV/atom
**Space-group type**: P4/mmm (123)
**Total energy**: -6.94 eV/atom
**Formation energy without anion corrections**: -0.125 eV per atom